{"formula": "PAuO2F", "functional": "PBE-GGA", "state": "relaxed", "rho_g_cm3": 6.43, "n_ef_per_ev_cell": 3.862, "spacegroup": "P4/mmm, No. 123", "formation_energy_uncorrected_ev_per_atom": 0.5608, "cell": [[-2.0404, 1.5192, 3.2672], [0.7744, -3.4820, 2.1027], [3.5709, 1.6715, 1.4529]], "species": ["O", "Au", "P", "F", "O"], "frac_coords": [[0.0000, 0.5000, 0.0000], [0.0000, 0.0000, 0.0000], [0.5000, 0.5000, 0.5000], [0.0000, 0.0000, 0.5000], [0.5000, 0.0000, 0.0000]]}

***

{"formula": "Ce3B7Ru", "functional": "PBE-GGA", "state": "relaxed", "rho_g_cm3": 7.37, "n_ef_per_ev_cell": 21.406, "spacegroup": "Cmcm, No. 63", "dft_energy_ev_per_atom": -7.185, "cell": [[3.5439, 0.0000, 0.0000], [-1.7720, 8.0273, 0.0000], [0.0000, 0.0000, 9.4516]], "species": ["B", "B", "B", "B", "Ru", "B", "Ru", "B", "Ce", "Ce", "Ce", "Ce", "B", "Ce", "B", "B", "B", "B", "Ce", "B", "B", "B"], "frac_coords": [[0.6338, 0.2676, 0.8469], [0.7255, 0.4510, 0.5327], [0.3662, 0.7324, 0.1531], [0.3662, 0.7324, 0.3469], [0.0564, 0.1129, 0.7500], [0.7255, 0.4510, 0.9673], [0.9436, 0.8871, 0.2500], [0.2745, 0.5490, 0.0327], [0.7495, 0.4990, 0.2500], [0.1064, 0.2129, 0.0642], [0.2505, 0.5010, 0.7500], [0.8936, 0.7871, 0.5642], [0.4766, 0.9533, 0.4056], [0.8936, 0.7871, 0.9358], [0.4648, 0.9296, 0.7500], [0.6338, 0.2676, 0.6531], [0.2745, 0.5490, 0.4673], [0.5352, 0.0704, 0.2500], [0.1064, 0.2129, 0.4358], [0.5234, 0.0467, 0.5944], [0.4766, 0.9533, 0.0944], [0.5234, 0.0467, 0.9056]]}

***

{"formula": "Mg2In4Hg", "functional": "PBE-GGA", "state": "relaxed", "rho_g_cm3": 6.54, "n_ef_per_ev_cell": 4.328, "spacegroup": "Cmmm, No. 65", "polymorph_energy_mev_per_atom": 0, "cell": [[4.5174, 0.0000, 0.0000], [0.0000, 6.3064, -0.2329], [0.0000, 0.1052, 6.3098]], "species": ["Mg", "In", "In", "Hg", "Mg", "In", "In"], "frac_coords": [[0.5000, 0.7967, 0.7967], [0.5000, 0.6793, 0.3207], [0.0000, 0.5000, 0.0000], [0.0000, 0.0000, 0.0000], [0.5000, 0.2033, 0.2033], [0.0000, 0.0000, 0.5000], [0.5000, 0.3207, 0.6793]]}